Record 1
{
  "formula": "KInN2F",
  "functional": "SCAN",
  "state": "single point on PBEsol structure",
  "rho_g_cm3": 4.01,
  "dft_energy_ev_per_atom": -12.854,
  "raw_formation_energy_ev_per_atom": -0.0860,
  "lattice": [[4.285, 0.000, 0.000], [0.000, 4.285, 0.000], [0.000, 0.000, 4.527]],
  "species": ["K", "In", "N", "N", "F"],
  "fractional_positions": [[0.000, 0.000, 0.000], [0.500, 0.500, 0.500], [0.000, 0.500, 0.500], [0.500, 0.000, 0.500], [0.500, 0.500, 0.000]]
}



Record 2
{
  "formula": "KInP2F",
  "functional": "SCAN",
  "state": "single point on PBEsol structure",
  "rho_g_cm3": 3.72,
  "dft_energy_ev_per_atom": -13.128,
  "raw_formation_energy_ev_per_atom": 0.0826,
  "lattice": [[4.668, 0.000, 0.000], [0.000, 4.668, 0.000], [0.000, 0.000, 4.807]],
  "species": ["K", "In", "P", "P", "F"],
  "fractional_positions": [[0.000, 0.000, 0.000], [0.500, 0.500, 0.000], [0.000, 0.500, 0.500], [0.500, 0.000, 0.500], [0.500, 0.500, 0.500]]
}



Record 3
{
  "formula": "K2RbInF6",
  "functional": "SCAN",
  "state": "single point on PBEsol structure",
  "rho_g_cm3": 3.25,
  "dft_energy_ev_per_atom": -12.028,
  "raw_formation_energy_ev_per_atom": -2.8252,
  "lattice": [[0.000, 4.644, 4.644], [4.644, 0.000, 4.644], [4.644, 4.644, 0.000]],
  "species": ["K", "K", "Rb", "In", "F", "F", "F", "F", "F", "F"],
  "fractional_positions": [[0.250, 0.250, 0.250], [0.750, 0.750, 0.750], [0.000, 0.000, 0.000], [0.500, 0.500, 0.500], [0.277, 0.277, 0.723], [0.277, 0.723, 0.277], [0.277, 0.723, 0.723], [0.723, 0.277, 0.277], [0.723, 0.277, 0.723], [0.723, 0.723, 0.277]]
}



Record 4
{
  "formula": "K2ScInF6",
  "functional": "SCAN",
  "state": "single point on PBEsol structure",
  "rho_g_cm3": 3.14,
  "dft_energy_ev_per_atom": -11.721,
  "raw_formation_energy_ev_per_atom": -3.1691,
  "lattice": [[0.000, 4.530, 4.530], [4.530, 0.000, 4.530], [4.530, 4.530, 0.000]],
  "species": ["K", "K", "Sc", "In", "F", "F", "F", "F", "F", "F"],
  "fractional_positions": [[0.250, 0.250, 0.250], [0.750, 0.750, 0.750], [0.000, 0.000, 0.000], [0.500, 0.500, 0.500], [0.222, 0.222, 0.778], [0.222, 0.778, 0.222], [0.222, 0.778, 0.778], [0.778, 0.222, 0.222], [0.778, 0.222, 0.778], [0.778, 0.778, 0.222]]
}



Record 5
{
  "formula": "K2TlInF6",
  "functional": "SCAN",
  "state": "single point on PBEsol structure",
  "rho_g_cm3": 4.27,
  "dft_energy_ev_per_atom": -16.963,
  "raw_formation_energy_ev_per_atom": -2.5987,
  "lattice": [[0.000, 4.631, 4.631], [4.631, 0.000, 4.631], [4.631, 4.631, 0.000]],
  "species": ["K", "K", "Tl", "In", "F", "F", "F", "F", "F", "F"],
  "fractional_positions": [[0.250, 0.250, 0.250], [0.750, 0.750, 0.750], [0.000, 0.000, 0.000], [0.500, 0.500, 0.500], [0.276, 0.276, 0.724], [0.276, 0.724, 0.276], [0.276, 0.724, 0.724], [0.724, 0.276, 0.276], [0.724, 0.276, 0.724], [0.724, 0.724, 0.276]]
}



Record 6
{
  "formula": "LaInF2",
  "functional": "SCAN",
  "state": "single point on PBEsol structure",
  "rho_g_cm3": 6.03,
  "dft_energy_ev_per_atom": -23.224,
  "raw_formation_energy_ev_per_atom": -2.3315,
  "lattice": [[2.315, 1.337, 4.330], [-2.315, 1.337, 4.330], [0.000, -2.673, 4.330]],
  "species": ["La", "In", "F", "F"],
  "fractional_positions": [[0.000, 0.000, 0.000], [0.500, 0.500, 0.500], [0.178, 0.178, 0.178], [0.822, 0.822, 0.822]]
}



Record 7
{
  "formula": "LaIn2TcF",
  "functional": "SCAN",
  "state": "single point on PBEsol structure",
  "rho_g_cm3": 7.12,
  "dft_energy_ev_per_atom": -30.151,
  "raw_formation_energy_ev_per_atom": -0.4552,
  "lattice": [[5.364, 0.000, 0.000], [0.000, 5.364, 0.000], [0.000, 0.000, 3.936]],
  "species": ["La", "In", "In", "Tc", "F"],
  "fractional_positions": [[0.000, 0.000, 0.000], [0.000, 0.500, 0.500], [0.500, 0.000, 0.500], [0.500, 0.500, 0.500], [0.500, 0.500, 0.000]]
}



Record 8
{
  "formula": "Li2InF",
  "functional": "SCAN",
  "state": "single point on PBEsol structure",
  "rho_g_cm3": 3.55,
  "dft_energy_ev_per_atom": -11.123,
  "raw_formation_energy_ev_per_atom": -0.6968,
  "lattice": [[0.000, 3.255, 3.255], [3.255, 0.000, 3.255], [3.255, 3.255, 0.000]],
  "species": ["Li", "Li", "In", "F"],
  "fractional_positions": [[0.250, 0.250, 0.250], [0.750, 0.750, 0.750], [0.000, 0.000, 0.000], [0.500, 0.500, 0.500]]
}